Material: Sc3TeRu
Method: DFT, GGA-PBEsol
State: relaxed

It has space group Pm-3m (No. 221), with a = 5.1119 Å, b = 5.1119 Å, c = 5.1119 Å, α = 90.00°, β = 90.00° and γ = 90.00°. The asymmetric unit holds Sc at (0.0000, 0.0000, 0.5000), Te at (0.0000, 0.0000, 0.0000) and Ru at (0.5000, 0.5000, 0.5000).

For the final energy, the calculation gives -29.72 eV per cell. For the uncorrected formation energy, the calculation gives 0.759 eV per atom. As for the density of states at the Fermi level: 8.9 states/eV/f.u.

Material: ZrScTiRu2
Method: DFT, GGA-PBEsol
State: relaxed

It has space group P4/mmm (No. 123), with a = 4.7128 Å, b = 4.7128 Å, c = 4.5873 Å, α = 90.00°, β = 90.00° and γ = 90.00°. The asymmetric unit holds Zr at (0.0000, 0.0000, 0.0000), Sc at (0.5000, 0.5000, 0.5000), Ti at (0.0000, 0.0000, 0.5000) and Ru at (0.0000, 0.5000, 0.0000).

As for the formation energy: 0.969 eV per atom. For the final energy, the calculation gives -39.52 eV per cell. As for the density of states at the Fermi level: 5.4 states/eV/f.u.

Material: Sc2TlRu
Method: DFT, GGA-PBEsol
State: relaxed

It has space group P4/mmm (No. 123), with a = 3.2448 Å, b = 3.2448 Å, c = 7.2605 Å, α = 90.00°, β = 90.00° and γ = 90.00°. The asymmetric unit holds Sc at (0.0000, 0.0000, 0.2078), Tl at (0.5000, 0.5000, 0.5000) and Ru at (0.5000, 0.5000, 0.0000).

As for the formation energy: -0.513 eV per atom. For the final energy, the calculation gives -28.06 eV per cell. As for the density of states at the Fermi level: 1.8 states/eV/f.u.

Material: Sc2TlRu
Method: DFT, GGA-PBEsol
State: relaxed

It has space group I-4m2 (No. 119), with a = 4.2109 Å, b = 4.2109 Å, c = 8.3173 Å, α = 90.00°, β = 90.00° and γ = 90.00°. The asymmetric unit holds Sc at (0.0000, 0.0000, 0.0000), Sc at (0.0000, 0.5000, 0.2500), Tl at (0.0000, 0.0000, 0.5000) and Ru at (0.0000, 0.5000, 0.7500).

As for the formation energy: -0.215 eV per atom. For the final energy, the calculation gives -53.74 eV per cell. As for the density of states at the Fermi level: 3.5 states/eV/f.u.

Material: Sc2TlRu
Method: DFT, GGA-PBEsol
State: relaxed

It has space group Imm2 (No. 44), with a = 3.3253 Å, b = 4.6541 Å, c = 9.9754 Å, α = 90.00°, β = 90.00° and γ = 90.00°. The asymmetric unit holds Sc at (0.0000, 0.0000, 0.0000), Sc at (0.0000, 0.5000, 0.2156), Tl at (0.0000, 0.5000, 0.7756) and Ru at (0.0000, 0.0000, 0.5072).

As for the formation energy: -0.243 eV per atom. For the final energy, the calculation gives -53.97 eV per cell. As for the density of states at the Fermi level: 3.6 states/eV/f.u.

Material: ScVRu2
Method: DFT, GGA-PBEsol
State: relaxed

It has space group Fm-3m (No. 225), with a = 6.1105 Å, b = 6.1105 Å, c = 6.1105 Å, α = 90.00°, β = 90.00° and γ = 90.00°. The asymmetric unit holds Sc at (0.0000, 0.0000, 0.0000), V at (0.0000, 0.0000, 0.5000) and Ru at (0.2500, 0.2500, 0.2500).

As for the formation energy: -0.423 eV per atom. For the final energy, the calculation gives -153.11 eV per cell. As for the density of states at the Fermi level: 0.6 states/eV/f.u.

Material: ScRu2W
Method: DFT, GGA-PBEsol
State: relaxed

It has space group P2/m (No. 10), with a = 2.8145 Å, b = 4.1294 Å, c = 5.4334 Å, α = 90.00°, β = 101.75° and γ = 90.00°. The asymmetric unit holds Sc at (0.0000, 0.0000, 0.0000), Ru at (0.3042, 0.5000, 0.7324) and W at (0.5000, 0.0000, 0.5000).

As for the formation energy: 0.015 eV per atom. For the final energy, the calculation gives -40.70 eV per cell. As for the density of states at the Fermi level: 3.2 states/eV/f.u.

Material: ScRuW
Method: DFT, GGA-PBEsol
State: relaxed

It has space group F-43m (No. 216), with a = 6.0336 Å, b = 6.0336 Å, c = 6.0336 Å, α = 90.00°, β = 90.00° and γ = 90.00°. The asymmetric unit holds Sc at (0.0000, 0.0000, 0.0000), Ru at (0.0000, 0.0000, 0.5000) and W at (0.2500, 0.2500, 0.2500).

As for the formation energy: 0.576 eV per atom. For the final energy, the calculation gives -115.43 eV per cell. As for the density of states at the Fermi level: 2.5 states/eV/f.u.

Material: ScRu3W
Method: DFT, GGA-PBEsol
State: relaxed

It has space group Pm-3m (No. 221), with a = 4.5990 Å, b = 4.5990 Å, c = 4.5990 Å, α = 90.00°, β = 90.00° and γ = 90.00°. The asymmetric unit holds Sc at (0.0000, 0.0000, 0.0000), Ru at (0.0000, 0.5000, 0.5000) and W at (0.5000, 0.5000, 0.5000).

As for the formation energy: 1.064 eV per atom. For the final energy, the calculation gives -45.61 eV per cell. As for the density of states at the Fermi level: 4.4 states/eV/f.u.

Material: ScRu2W
Method: DFT, GGA-PBEsol
State: relaxed

It has space group P4/mmm (No. 123), with a = 4.4514 Å, b = 4.4514 Å, c = 3.0415 Å, α = 90.00°, β = 90.00° and γ = 90.00°. The asymmetric unit holds Sc at (0.0000, 0.0000, 0.0000), Ru at (0.0000, 0.5000, 0.5000) and W at (0.5000, 0.5000, 0.0000).

As for the formation energy: -0.218 eV per atom. For the final energy, the calculation gives -41.63 eV per cell. As for the density of states at the Fermi level: 3.1 states/eV/f.u.

Material: Sc2RuW
Method: DFT, GGA-PBEsol
State: relaxed

It has space group Pmm2 (No. 25), with a = 2.9606 Å, b = 4.3110 Å, c = 5.3586 Å, α = 90.00°, β = 90.00° and γ = 90.00°. The asymmetric unit holds Sc at (0.0000, 0.0000, 0.0000), Sc at (0.5000, 0.5000, 0.2697), Ru at (0.5000, 0.5000, 0.7317) and W at (0.0000, 0.0000, 0.5286).

As for the formation energy: 0.152 eV per atom. For the final energy, the calculation gives -36.58 eV per cell. As for the density of states at the Fermi level: 2.2 states/eV/f.u.

Material: YSc2Ru
Method: DFT, GGA-PBEsol
State: relaxed

It has space group Immm (No. 71), with a = 3.3475 Å, b = 4.9989 Å, c = 10.2005 Å, α = 90.00°, β = 90.00° and γ = 90.00°. The asymmetric unit holds Y at (0.0000, 0.0000, 0.0000), Sc at (0.0000, 0.5000, 0.2017) and Ru at (0.0000, 0.0000, 0.5000).

As for the formation energy: -0.280 eV per atom. For the final energy, the calculation gives -62.65 eV per cell. As for the density of states at the Fermi level: 3.8 states/eV/f.u. The relative energy among the computed polymorphs is 0.04 eV per formula unit.

Material: YScRu2
Method: DFT, GGA-PBEsol
State: relaxed

It has space group P4/mmm (No. 123), with a = 4.6004 Å, b = 4.6004 Å, c = 3.2690 Å, α = 90.00°, β = 90.00° and γ = 90.00°. The asymmetric unit holds Y at (0.0000, 0.0000, 0.0000), Sc at (0.5000, 0.5000, 0.0000) and Ru at (0.0000, 0.5000, 0.5000).

As for the formation energy: -0.318 eV per atom. For the final energy, the calculation gives -35.04 eV per cell. As for the density of states at the Fermi level: 4.4 states/eV/f.u.

Material: YSc2Ru
Method: DFT, GGA-PBEsol
State: relaxed

It has space group F-43m (No. 216), with a = 6.8564 Å, b = 6.8564 Å, c = 6.8564 Å, α = 90.00°, β = 90.00° and γ = 90.00°. The asymmetric unit holds Y at (0.0000, 0.0000, 0.0000), Sc at (0.0000, 0.0000, 0.5000), Sc at (0.2500, 0.2500, 0.2500) and Ru at (0.2500, 0.2500, 0.7500).

As for the formation energy: -0.051 eV per atom. For the final energy, the calculation gives -121.63 eV per cell. As for the density of states at the Fermi level: 4.4 states/eV/f.u. The relative energy among the computed polymorphs is 0.95 eV per formula unit.

Material: YScRu
Method: DFT, GGA-PBEsol
State: relaxed

It has space group I4mm (No. 107), with a = 3.2669 Å, b = 3.2669 Å, c = 12.0888 Å, α = 90.00°, β = 90.00° and γ = 90.00°. The asymmetric unit holds Y at (0.0000, 0.0000, 0.0000), Sc at (0.0000, 0.0000, 0.7394) and Ru at (0.0000, 0.0000, 0.3568).

As for the formation energy: -0.340 eV per atom. For the final energy, the calculation gives -49.24 eV per cell. As for the density of states at the Fermi level: 1.3 states/eV/f.u.

Material: YSc2Ru
Method: DFT, GGA-PBEsol
State: relaxed

It has space group R-3m (No. 166, hexagonal axes), with a = 3.2501 Å, b = 3.2501 Å, c = 28.5691 Å, α = 90.00°, β = 90.00° and γ = 120.00°. The asymmetric unit holds Y at (0.0000, 0.0000, 0.0000), Sc at (0.0000, 0.0000, 0.2316) and Ru at (0.0000, 0.0000, 0.5000).

As for the formation energy: -0.049 eV per atom. For the final energy, the calculation gives -91.20 eV per cell. As for the density of states at the Fermi level: 4.8 states/eV/f.u. The relative energy among the computed polymorphs is 0.96 eV per formula unit.